A | A relaxed structure of InPd3Pb, computed with PBE.

Results
M_tot = 0.00 μB per cell

a b c (Å): 5.094 5.563 7.224
angles (deg): 83.38 73.25 74.17
Fractional coordinates of all 10 atoms:
1 In 0.157 0.136 0.302
2 In 0.843 0.864 0.698
3 Pd 0.046 0.667 0.330
4 Pd 0.286 0.911 0.938
5 Pd 0.435 0.765 0.541
6 Pd 0.565 0.235 0.459
7 Pd 0.714 0.089 0.062
8 Pd 0.954 0.333 0.670
9 Pb 0.345 0.407 0.849
10 Pb 0.655 0.593 0.151



B | A relaxed structure of InPd3Pb, computed with PBE.

Results
M_tot = 0.00 μB per cell

a b c (Å): 5.069 5.069 5.069
angles (deg): 90.00 90.00 90.00
Fractional coordinates of all 5 atoms:
1 In 0.000 0.000 0.000
2 Pd 0.000 0.500 0.500
3 Pd 0.500 0.000 0.500
4 Pd 0.500 0.500 0.000
5 Pb 0.500 0.500 0.500



Here is how they stack up, most stable first: A, B.



A | A relaxed structure of InPd3Pb, computed with PBE.

Results
M_tot = 0.00 μB per cell

a b c (Å): 4.365 5.764 7.720
angles (deg): 90.00 90.00 90.00
Fractional coordinates of all 10 atoms:
1 In 0.250 0.250 0.062
2 In 0.750 0.750 0.938
3 Pd 0.250 0.250 0.415
4 Pd 0.250 0.510 0.766
5 Pd 0.250 0.990 0.766
6 Pd 0.750 0.010 0.234
7 Pd 0.750 0.490 0.234
8 Pd 0.750 0.750 0.585
9 Pb 0.250 0.750 0.362
10 Pb 0.750 0.250 0.638



B | A relaxed structure of InPd3Pb, computed with PBE.

Results
M_tot = 0.00 μB per cell

a b c (Å): 4.978 4.978 4.978
angles (deg): 90.00 90.00 90.00
Fractional coordinates of all 5 atoms:
1 In 0.000 0.000 0.000
2 Pd 0.000 0.000 0.500
3 Pd 0.000 0.500 0.000
4 Pd 0.500 0.000 0.000
5 Pb 0.500 0.500 0.500



Here is how they stack up, most stable first: A, B.



A | A relaxed structure of InPd6Pb2, computed with PBE.

Results
M_tot = 0.00 μB per cell

a b c (Å): 8.107 8.107 3.259
angles (deg): 101.47 101.47 56.24
Fractional coordinates of all 9 atoms:
1 In 0.000 0.000 0.000
2 Pd 0.030 0.637 0.834
3 Pd 0.289 0.711 0.500
4 Pd 0.363 0.970 0.166
5 Pd 0.637 0.030 0.834
6 Pd 0.711 0.289 0.500
7 Pd 0.970 0.363 0.166
8 Pb 0.336 0.336 0.337
9 Pb 0.664 0.664 0.663



B | A relaxed structure of InPd6Pb2, computed with PBE.

Results
M_tot = 0.00 μB per cell

a b c (Å): 7.649 7.649 3.238
angles (deg): 90.00 90.00 120.00
Fractional coordinates of all 9 atoms:
1 In 0.000 0.000 0.000
2 Pd 0.000 0.289 0.500
3 Pd 0.000 0.634 0.000
4 Pd 0.289 0.000 0.500
5 Pd 0.366 0.366 0.000
6 Pd 0.634 0.000 0.000
7 Pd 0.711 0.711 0.500
8 Pb 0.333 0.667 0.500
9 Pb 0.667 0.333 0.500



Here is how they stack up, most stable first: B, A.



A | A relaxed structure of Pm4InPb3, computed with PBE.

Results
M_tot = 0.00 μB per cell

a b c (Å): 4.469 4.678 11.874
angles (deg): 90.00 90.00 90.00
Fractional coordinates of all 8 atoms:
1 Pm 0.000 0.000 0.000
2 Pm 0.000 0.500 0.496
3 Pm 0.500 0.000 0.729
4 Pm 0.500 0.500 0.230
5 In 0.000 0.000 0.274
6 Pb 0.000 0.500 0.766
7 Pb 0.500 0.000 0.452
8 Pb 0.500 0.500 0.959



B | A relaxed structure of Pm4InPb3, computed with PBE.

Results
M_tot = 0.00 μB per cell

a b c (Å): 8.073 8.073 5.840
angles (deg): 110.93 110.93 42.41
Fractional coordinates of all 8 atoms:
1 Pm 0.126 0.126 0.127
2 Pm 0.373 0.373 0.374
3 Pm 0.627 0.627 0.626
4 Pm 0.874 0.874 0.873
5 In 0.500 0.500 0.000
6 Pb 0.000 0.000 0.500
7 Pb 0.255 0.255 0.755
8 Pb 0.745 0.745 0.245



Here is how they stack up, most stable first: A, B.



A | A relaxed structure of PmTmInPb, computed with PBE.

Results
M_tot = 0.00 μB per cell

a b c (Å): 5.424 5.424 5.424
angles (deg): 60.00 60.00 60.00
Fractional coordinates of all 4 atoms:
1 Pm 0.000 0.000 0.000
2 Tm 0.500 0.500 0.500
3 In 0.750 0.750 0.750
4 Pb 0.250 0.250 0.250



B | A relaxed structure of PmTmInPb, computed with PBE.

Results
M_tot = 0.00 μB per cell

a b c (Å): 5.697 5.697 5.697
angles (deg): 128.09 128.09 76.48
Fractional coordinates of all 4 atoms:
1 Pm 0.000 0.000 0.000
2 Tm 0.500 0.500 0.000
3 In 0.250 0.750 0.500
4 Pb 0.750 0.250 0.500



Here is how they stack up, most stable first: B, A.



A | A relaxed structure of PrInPb3, computed with PBE.

Results
M_tot = 0.00 μB per cell

a b c (Å): 4.465 6.173 6.200
angles (deg): 83.47 68.91 69.15
Fractional coordinates of all 5 atoms:
1 Pr 0.000 0.000 0.000
2 In 0.596 0.601 0.206
3 Pb 0.191 0.206 0.413
4 Pb 0.374 0.421 0.827
5 Pb 0.799 0.812 0.584



B | A relaxed structure of PrInPb3, computed with PBE.

Results
M_tot = 0.00 μB per cell

a b c (Å): 4.905 6.700 10.081
angles (deg): 90.00 90.00 90.00
Fractional coordinates of all 10 atoms:
1 Pr 0.250 0.250 0.094
2 Pr 0.750 0.750 0.906
3 In 0.250 0.750 0.443
4 In 0.750 0.250 0.557
5 Pb 0.250 0.002 0.725
6 Pb 0.250 0.498 0.725
7 Pb 0.250 0.750 0.115
8 Pb 0.750 0.250 0.885
9 Pb 0.750 0.502 0.275
10 Pb 0.750 0.998 0.275



Here is how they stack up, most stable first: A, B.